Computed, not measured: a geometry-optimized ReTe2Au structure at the PBE level of DFT.

- E_form (uncorrected): 449 meV per atom
- Total energy: -60.6 eV/cell
- Total magnetization: 0.000 Bohr magnetons per cell
- E above lowest polymorph: 17.14 kJ/mol of atoms
- Calculated volume: 283 Å³/cell
- Fermi-level density of states: 9.14 states/eV per cell
- Crystal system: trigonal

Lattice parameters (Å, degrees): 3.2528 3.2528 30.8828 90.00 90.00 120.00
With the nearest neighbours (Å) after each atom.
Space group R3m (No. 160, hexagonal axes)
One atom of each set of equivalent atoms:
Re (0.0000, 0.0000, 0.0000) x3  3 Te 2.64, 3 Au 2.86
Te (0.0000, 0.0000, 0.2731) x3  3 Re 2.64
Te (0.0000, 0.0000, 0.4812) x3  3 Au 3.05, 6 Te 3.25
Au (0.0000, 0.0000, 0.7365) x3  3 Re 2.86, 3 Te 3.05